No. 1
A plane-wave DFT calculation with GGA-PBE was carried out for crystalline U3Pa2Se8 at its relaxed geometry.

## Properties
- energy (eV/cell) = -95.8
- calculated volume (Å³ per atom) = 25.599
- raw formation energy (eV per atom) = -1.16
- polymorph energy (0 for the lowest one) (meV/atom) = 0.0

Unit cell a=8.4787 b=8.4787 c=4.9273 alpha=90.00 beta=90.00 gamma=110.03
Last column: nearest neighbours and their distance in Å.
Atoms (fractional coordinates):
U 0.0000 0.0000 0.0000  8 Se 2.94-2.99
U 0.2656 0.2656 0.5000  8 Se 2.90-3.09
U 0.7344 0.7344 0.5000  8 Se 2.90-3.09
Pa 0.2590 0.7410 0.0000  8 Se 2.91-3.12
Pa 0.7410 0.2590 0.0000  8 Se 2.91-3.12
Se 0.1206 0.3688 0.0000  3 U 2.94-3.01, 2 Pa 2.97-3.03
Se 0.1216 0.8784 0.5000  4 U 2.99-3.09, 2 Pa 3.12
Se 0.3688 0.1206 0.0000  3 U 2.94-3.01, 2 Pa 2.97-3.03
Se 0.3704 0.6296 0.5000  2 U 2.90, 2 Pa 2.91
Se 0.6296 0.3704 0.5000  2 U 2.90, 2 Pa 2.91
Se 0.6312 0.8794 0.0000  3 U 2.94-3.01, 2 Pa 2.97-3.03
Se 0.8784 0.1216 0.5000  4 U 2.99-3.09, 2 Pa 3.12
Se 0.8794 0.6312 0.0000  3 U 2.94-3.01, 2 Pa 2.97-3.03

No. 2
A plane-wave DFT calculation with GGA-PBE was carried out for crystalline U6PaSe8 at its relaxed geometry.

## Properties
- energy (eV/cell) = -121.2
- calculated volume (Å³ per atom) = 24.863
- raw formation energy (eV per atom) = -1.07

Unit cell a=8.0796 b=8.0796 c=8.0796 alpha=60.00 beta=60.00 gamma=60.00
Last column: nearest neighbours and their distance in Å.
Atoms (fractional coordinates):
U 0.0000 0.0000 0.5000  6 Se 2.86
U 0.0000 0.5000 0.0000  6 Se 2.86
U 0.0000 0.5000 0.5000  6 Se 2.86
U 0.5000 0.0000 0.0000  6 Se 2.86
U 0.5000 0.0000 0.5000  6 Se 2.86
U 0.5000 0.5000 0.0000  6 Se 2.86
Pa 0.0000 0.0000 0.0000  6 Se 2.96
Se 0.2500 0.2500 0.2500  6 U 2.86
Se 0.2592 0.2592 0.7408  4 U 2.86, 1 Pa 2.96
Se 0.2592 0.7408 0.2592  4 U 2.86, 1 Pa 2.96
Se 0.2592 0.7408 0.7408  4 U 2.86, 1 Pa 2.96
Se 0.7408 0.2592 0.2592  4 U 2.86, 1 Pa 2.96
Se 0.7408 0.2592 0.7408  4 U 2.86, 1 Pa 2.96
Se 0.7408 0.7408 0.2592  4 U 2.86, 1 Pa 2.96
Se 0.7500 0.7500 0.7500  6 U 2.86

No. 3
A plane-wave DFT calculation with GGA-PBE was carried out for crystalline U6PaSe12 at its relaxed geometry.

## Properties
- energy (eV/cell) = -140.4
- calculated volume (Å³ per atom) = 28.398
- raw formation energy (eV per atom) = -1.12

Unit cell a=8.2713 b=8.2713 c=8.2713 alpha=99.51 beta=99.51 gamma=99.51
Last column: nearest neighbours and their distance in Å.
Atoms (fractional coordinates):
U 0.1316 0.6350 0.8153  6 Se 2.87-2.99
U 0.1847 0.8684 0.3650  6 Se 2.87-2.99
U 0.3650 0.1847 0.8684  6 Se 2.87-2.99
U 0.6350 0.8153 0.1316  6 Se 2.87-2.99
U 0.8153 0.1316 0.6350  6 Se 2.87-2.99
U 0.8684 0.3650 0.1847  6 Se 2.87-2.99
Pa 0.5000 0.5000 0.5000  6 Se 2.77
Se 0.0718 0.9232 0.6784  4 U 2.88-2.99
Se 0.0768 0.3216 0.9282  4 U 2.88-2.99
Se 0.1702 0.5362 0.4289  1 Pa 2.77, 2 U 2.87-2.92
Se 0.3216 0.9282 0.0768  4 U 2.88-2.99
Se 0.4289 0.1702 0.5362  1 Pa 2.77, 2 U 2.87-2.92
Se 0.4638 0.5711 0.8298  1 Pa 2.77, 2 U 2.87-2.92
Se 0.5362 0.4289 0.1702  1 Pa 2.77, 2 U 2.87-2.92
Se 0.5711 0.8298 0.4638  1 Pa 2.77, 2 U 2.87-2.92
Se 0.6784 0.0718 0.9232  4 U 2.88-2.99
Se 0.8298 0.4638 0.5711  1 Pa 2.77, 2 U 2.87-2.92
Se 0.9232 0.6784 0.0718  4 U 2.88-2.99
Se 0.9282 0.0768 0.3216  4 U 2.88-2.99